Material: SmDy4Tc
Method: DFT, PBE-GGA
State: relaxed

a b c (Å): 8.836 3.744 20.544
angles (deg): 90.00 90.00 90.00
Space group Pnma (No. 62)
One atom of each set of equivalent atoms:
Sm1 0.224 0.250 0.188 [4 per cell]
Dy1 0.010 0.750 0.567 [4 per cell]
Dy2 0.036 0.750 0.293 [4 per cell]
Dy3 0.133 0.750 0.044 [4 per cell]
Dy4 0.151 0.750 0.859 [4 per cell]
Tc1 0.239 0.750 0.455 [4 per cell]

total energy: -134.2 eV/cell
calculated volume: 28.3 A^3/atom
energy relative to the elements: -1 kJ per mole of atoms